19
Lattice="6.181 3.568 4.442 -6.181 3.568 4.442 0.000 -7.137 4.442" Properties=species:S:1:pos:R:3 comment="PBE-GGA TbHg6Pb12, optimized geometry" vol_a3_per_cell=587.9 m_tot_mub_per_fu=0.00 formation_enthalpy_0k_ev_per_fu=-0.156 dos_ef_per_ev_cell=9.78 spacegroup="R-3 (148)" total_energy_ev_per_atom=-2.689 pbc="T T T"
Tb 0.000 0.000 0.000
Hg -0.662 -4.174 5.143
Hg -3.946 -1.514 8.184
Hg -3.284 2.660 5.143
Hg 3.284 -2.660 8.184
Hg 3.946 1.514 5.143
Hg 0.662 4.174 8.184
Pb -1.982 0.547 2.801
Pb 0.517 -1.990 2.801
Pb -1.783 -1.367 5.434
Pb 1.465 1.443 2.801
Pb -2.075 0.860 7.893
Pb -0.292 2.227 5.434
Pb 0.292 -2.227 7.893
Pb 2.075 -0.860 5.434
Pb -1.465 -1.443 10.526
Pb 1.783 1.367 7.893
Pb -0.517 1.990 10.526
Pb 1.982 -0.547 10.526

=====

10
Lattice="6.127 0.000 0.000 0.000 6.127 0.000 0.000 0.000 4.220" Properties=species:S:1:pos:R:3 comment="PBE-GGA Li2PPd2, optimized geometry" vol_a3_per_cell=158.4 m_tot_mub_per_fu=0.00 formation_enthalpy_0k_ev_per_fu=-2.529 e_above_lowest_polymorph_mev_per_atom=46 dos_ef_per_ev_cell=4.89 spacegroup="P4/mbm (127)" total_energy_ev_per_atom=-4.430 pbc="T T T"
Li 0.989 2.074 0.000
Li 2.074 5.138 0.000
Li 4.052 0.989 0.000
Li 5.138 4.052 0.000
P 0.000 0.000 2.110
P 3.063 3.063 2.110
Pd 0.979 4.042 2.110
Pd 2.084 0.979 2.110
Pd 4.042 5.148 2.110
Pd 5.148 2.084 2.110

=====

5
Lattice="5.132 0.000 0.000 0.000 5.132 0.000 0.000 0.000 4.288" Properties=species:S:1:pos:R:3 comment="PBE-GGA Sn2HIrF, optimized geometry" vol_a3_per_cell=112.9 m_tot_mub_per_fu=0.00 dos_ef_per_ev_cell=2.41 spacegroup="P4/mmm (123)" total_energy_ev_per_atom=-4.266 pbc="T T T"
Sn 0.000 2.566 0.000
Sn 2.566 0.000 0.000
H 0.000 0.000 2.144
Ir 2.566 2.566 0.000
F 2.566 2.566 2.144

=====

6
Lattice="-2.217 2.217 6.263 2.217 -2.217 6.263 2.217 2.217 -6.263" Properties=species:S:1:pos:R:3 comment="PBE-GGA PaSnB, optimized geometry" vol_a3_per_cell=123.1 m_tot_mub_per_fu=0.00 formation_enthalpy_0k_ev_per_fu=0.425 dos_ef_per_ev_cell=6.04 spacegroup="I4/mmm (139)" total_energy_ev_per_atom=-6.584 pbc="T T T"
Pa 0.000 0.000 1.374
Pa 0.000 0.000 11.152
Sn 0.000 0.000 4.556
Sn 0.000 0.000 7.970
B 2.217 0.000 0.000
B 0.000 2.217 0.000

=====

6
Lattice="0.000 4.108 4.108 4.108 0.000 4.108 4.108 4.108 0.000" Properties=species:S:1:pos:R:3 comment="PBE-GGA BaPrZn4, optimized geometry" vol_a3_per_cell=138.7 m_tot_mub_per_fu=0.00 formation_enthalpy_0k_ev_per_fu=-0.860 e_above_lowest_polymorph_mev_per_atom=83 dos_ef_per_ev_cell=8.54 spacegroup="F-43m (216)" total_energy_ev_per_atom=-2.110 pbc="T T T"
Ba 0.000 0.000 0.000
Pr 6.163 6.163 6.163
Zn 3.107 3.107 3.107
Zn 5.109 5.109 3.107
Zn 5.109 3.107 5.109
Zn 3.107 5.109 5.109

=====

8
Lattice="-6.165 6.165 2.289 6.165 -6.165 2.289 6.165 6.165 -2.289" Properties=species:S:1:pos:R:3 comment="PBE-GGA K2TaNi, optimized geometry" vol_a3_per_cell=348.0 m_tot_mub_per_fu=1.53 formation_enthalpy_0k_ev_per_fu=5.305 e_above_lowest_polymorph_mev_per_atom=746 dos_ef_per_ev_cell=9.21 spacegroup="I-42d (122)" total_energy_ev_per_atom=-3.631 pbc="T T T"
K 1.035 3.083 0.572
K -3.083 5.130 1.716
K -1.035 9.248 0.572
K 3.083 7.200 1.716
Ta 6.165 0.000 1.144
Ta 0.000 0.000 2.289
Ni 0.000 0.000 0.000
Ni 0.000 6.165 1.144

=====

80
Lattice="-8.474 8.474 8.474 8.474 -8.474 8.474 8.474 8.474 -8.474" Properties=species:S:1:pos:R:3 comment="PBE-GGA Ac12Ge3H5, optimized geometry" vol_a3_per_cell=2434.3 m_tot_mub_per_fu=0.00 dos_ef_per_ev_cell=73.19 spacegroup="Ia-3d (230)" total_energy_ev_per_atom=-4.301 pbc="T T T"
Ac 2.608 -0.610 1.054
Ac 10.104 5.291 -4.847
Ac 7.865 -1.054 2.608
Ac 13.321 -1.629 3.183
Ac 11.082 0.610 1.054
Ac 10.104 -3.183 4.847
Ac 1.054 2.608 -0.610
Ac 11.657 3.628 -1.629
Ac 5.291 4.847 -1.629
Ac 7.420 2.608 0.610
Ac -0.610 1.054 2.608
Ac 4.847 -1.629 5.291
Ac 7.865 7.420 -2.608
Ac 4.847 1.629 3.183
Ac 7.420 -2.608 7.865
Ac 5.291 -4.847 10.104
Ac 3.183 4.847 1.629
Ac 9.528 5.867 0.610
Ac 2.608 7.865 -1.054
Ac 10.104 3.183 3.628
Ac 4.847 10.104 -3.183
Ac 7.865 1.054 5.867
Ac 1.629 3.183 4.847
Ac 2.608 0.610 7.420
Ac 5.867 7.865 1.054
Ac 6.845 5.291 3.628
Ac 0.610 7.420 2.608
Ac 3.628 -1.629 11.657
Ac -1.629 5.291 4.847
Ac 5.867 0.610 9.528
Ac -1.054 2.608 7.865
Ac 5.291 3.628 6.845
Ac 3.183 13.321 -1.629
Ac 1.054 11.082 0.610
Ac 3.628 6.845 5.291
Ac 0.610 1.054 11.082
Ac 3.628 10.104 3.183
Ac 9.084 7.420 5.867
Ac 1.054 5.867 7.865
Ac 3.183 3.628 10.104
Ac -3.183 4.847 10.104
Ac 7.420 5.867 9.084
Ac -1.629 11.657 3.628
Ac -2.608 7.865 7.420
Ac -4.847 10.104 5.291
Ac 0.610 9.528 5.867
Ac -1.629 3.183 13.321
Ac 5.867 9.084 7.420
Ge 4.237 2.119 0.000
Ge 8.474 4.237 -2.119
Ge 2.119 0.000 4.237
Ge 10.593 0.000 4.237
Ge 0.000 4.237 2.119
Ge 4.237 -2.119 8.474
Ge 4.237 10.593 0.000
Ge 8.474 4.237 6.356
Ge -2.119 8.474 4.237
Ge 6.356 8.474 4.237
Ge 0.000 4.237 10.593
Ge 4.237 6.356 8.474
H 0.000 0.000 0.000
H 4.237 4.237 -4.237
H 4.237 -4.237 4.237
H 8.474 0.000 0.000
H 12.711 2.119 0.000
H 8.474 -4.237 6.356
H 6.356 8.474 -4.237
H 6.356 0.000 4.237
H 4.237 6.356 0.000
H 8.474 4.237 2.119
H -4.237 4.237 4.237
H 0.000 8.474 0.000
H 0.000 0.000 8.474
H 4.237 4.237 4.237
H 0.000 4.237 6.356
H 4.237 2.119 8.474
H 2.119 8.474 4.237
H 2.119 0.000 12.711
H 0.000 12.711 2.119
H -4.237 6.356 8.474

=====

5
Lattice="4.743 0.000 0.000 0.000 4.743 0.000 0.000 0.000 4.743" Properties=species:S:1:pos:R:3 comment="PBE-GGA NaNi3Ag, optimized geometry" vol_a3_per_cell=106.7 m_tot_mub_per_fu=1.69 formation_enthalpy_0k_ev_per_fu=5.809 e_above_lowest_polymorph_mev_per_atom=0 dos_ef_per_ev_cell=8.58 spacegroup="Pm-3m (221)" total_energy_ev_per_atom=-3.141 pbc="T T T"
Na 0.000 0.000 0.000
Ni 0.000 2.372 2.372
Ni 2.372 0.000 2.372
Ni 2.372 2.372 0.000
Ag 2.372 2.372 2.372